Entry 1:
This record from Alexandria via LeMat-Bulk describes an optimized crystal structure of Dy5CdSb2. The functional is PBE.

Cell lengths 6.3988, 6.3988, 14.8534 Å; angles 90.00, 90.00, 128.40 degrees
Last column: nearest neighbours and their distance in Å.
Positions (direct):
Dy 0.0713 0.9287 0.5977  2 Sb 3.21-3.46, 1 Dy 3.33, 1 Cd 3.41
Dy 0.0713 0.9287 0.9023  2 Sb 3.21-3.46, 1 Dy 3.33, 1 Cd 3.41
Dy 0.3787 0.6213 0.5518  3 Sb 3.08-3.12, 1 Cd 3.11, 1 Dy 3.19
Dy 0.3787 0.6213 0.9482  3 Sb 3.08-3.12, 1 Cd 3.11, 1 Dy 3.19
Dy 0.4063 0.5937 0.2500  2 Sb 3.10, 1 Cd 3.46
Dy 0.5937 0.4063 0.7500  2 Sb 3.10, 1 Cd 3.46
Dy 0.6213 0.3787 0.0518  3 Sb 3.08-3.12, 1 Cd 3.11, 1 Dy 3.19
Dy 0.6213 0.3787 0.4482  3 Sb 3.08-3.12, 1 Cd 3.11, 1 Dy 3.19
Dy 0.9287 0.0713 0.0977  2 Sb 3.21-3.46, 1 Dy 3.33, 1 Cd 3.41
Dy 0.9287 0.0713 0.4023  2 Sb 3.21-3.46, 1 Dy 3.33, 1 Cd 3.41
Cd 0.2931 0.7069 0.7500  5 Dy 3.11-3.46, 4 Sb 3.47
Cd 0.7069 0.2931 0.2500  5 Dy 3.11-3.46, 4 Sb 3.47
Sb 0.2064 0.7936 0.1103  5 Dy 3.08-3.21
Sb 0.2064 0.7936 0.3897  5 Dy 3.08-3.21
Sb 0.7936 0.2064 0.6103  5 Dy 3.08-3.21
Sb 0.7936 0.2064 0.8897  5 Dy 3.08-3.21

Entry 2:
This record from Alexandria via LeMat-Bulk describes an optimized crystal structure of GaHRh3. The functional is PBE.

Cell lengths 3.8361, 3.8361, 5.8317 Å; angles 90.00, 90.00, 90.00 degrees
Last column: nearest neighbours and their distance in Å.
Positions (direct):
Ga 0.0000 0.0000 0.0000  5 Rh 2.40-2.57
H 0.5000 0.5000 0.2688  4 Rh 1.92
Rh 0.0000 0.0000 0.5877  1 Ga 2.40, 4 Rh 2.57
Rh 0.0000 0.5000 0.2936  2 H 1.92
Rh 0.5000 0.0000 0.2936  2 H 1.92

Computed properties:
E above lowest polymorph: 0.640 eV/atom

Entry 3:
This record from Alexandria via LeMat-Bulk describes an optimized crystal structure of Li2Cd6Sn. The functional is PBE.

Cell lengths 7.0231, 7.0231, 6.9768 Å; angles 107.57, 107.57, 36.32 degrees
Last column: nearest neighbours and their distance in Å.
Positions (direct):
Li 0.0549 0.0549 0.3205  2 Sn 3.05, 9 Cd 3.05-3.15, 1 Li 3.28
Li 0.9451 0.9451 0.6795  2 Sn 3.05, 9 Cd 3.05-3.15, 1 Li 3.28
Cd 0.1648 0.1648 0.9917  2 Li 3.05-3.09, 8 Cd 3.07-3.27, 2 Sn 3.12
Cd 0.2728 0.2728 0.6630  8 Cd 3.07-3.16, 3 Li 3.12-3.15, 1 Sn 3.19
Cd 0.3932 0.3932 0.3499  7 Cd 2.95-3.27, 4 Li 3.09-3.13, 1 Sn 3.19
Cd 0.6068 0.6068 0.6501  7 Cd 2.95-3.27, 4 Li 3.09-3.13, 1 Sn 3.19
Cd 0.7272 0.7272 0.3370  8 Cd 3.07-3.16, 3 Li 3.12-3.15, 1 Sn 3.19
Cd 0.8352 0.8352 0.0083  2 Li 3.05-3.09, 8 Cd 3.07-3.27, 2 Sn 3.12
Sn 0.5000 0.5000 0.0000  4 Li 3.05, 8 Cd 3.12-3.19

| no. | calculated total energy (eV/atom) | V (A^3/atom) |
| --- | --- | --- |
| 1 | -4.376 | 29.8 |
| 2 | -5.339 | 17.2 |
| 3 | -1.608 | 21.5 |